PBE BeReH3, relaxed; size of the total moment = 0.000 μB per formula unit; symmetry = Pm-3m; ΔE to the lowest computed polymorph = 0.00 eV/f.u.
1.0
3.369 0.000 0.000
0.000 3.369 0.000
0.000 0.000 3.369
Be Re H
1 1 3
Cartesian
0.000 0.000 0.000
1.684 1.684 1.684
0.000 1.684 1.684
1.684 0.000 1.684
1.684 1.684 0.000

PBE BeReH3, relaxed; size of the total moment = 0.000 μB per formula unit; symmetry = Pm-3m; ΔE to the lowest computed polymorph = 0.30 eV/f.u.
1.0
3.098 0.000 0.000
0.000 3.098 0.000
0.000 0.000 3.098
Be Re H
1 1 3
Cartesian
0.000 0.000 0.000
1.549 1.549 1.549
0.000 0.000 1.549
0.000 1.549 0.000
1.549 0.000 0.000

PBE BeReH2, relaxed; size of the total moment = 0.000 μB per formula unit; symmetry = Fm-3m; ΔE to the lowest computed polymorph = 1.32 eV/f.u.
1.0
4.831 0.000 0.000
0.000 4.831 0.000
0.000 0.000 4.831
Be Re H
4 4 8
Cartesian
0.000 0.000 0.000
0.000 2.416 2.416
2.416 0.000 2.416
2.416 2.416 0.000
0.000 0.000 2.416
0.000 2.416 0.000
2.416 0.000 0.000
2.416 2.416 2.416
1.208 1.208 1.208
1.208 1.208 3.623
1.208 3.623 1.208
1.208 3.623 3.623
3.623 1.208 1.208
3.623 1.208 3.623
3.623 3.623 1.208
3.623 3.623 3.623

PBE BeReH, relaxed; size of the total moment = 0.000 μB per formula unit; raw total energy = -6.44 eV/atom; symmetry = C2/m
1.0
8.259 0.000 0.000
0.000 2.989 0.000
-3.276 0.000 4.263
Be Re H
4 4 4
Cartesian
1.293 0.000 0.432
-0.440 1.494 3.831
5.423 1.494 0.432
3.690 0.000 3.831
-0.401 1.494 1.380
1.255 0.000 2.883
3.729 0.000 1.380
5.384 1.494 2.883
-1.847 0.000 3.094
2.701 1.494 1.169
2.282 1.494 3.094
6.830 0.000 1.169

PBE BeReH2Ru, relaxed; size of the total moment = 0.000 μB per formula unit; raw total energy = -5.26 eV/atom; symmetry = P4/mmm
1.0
3.440 0.000 0.000
0.000 3.440 0.000
0.000 0.000 4.840
Be Re H Ru
1 1 2 1
Cartesian
0.000 0.000 0.000
0.000 0.000 2.420
0.000 1.720 0.000
1.720 0.000 0.000
1.720 1.720 2.420

PBE BeRe2SnH, relaxed; size of the total moment = 0.021 μB per formula unit; raw total energy = -6.21 eV/atom; symmetry = P4/mmm
1.0
4.523 0.000 0.000
0.000 4.523 0.000
0.000 0.000 3.239
Be Re Sn H
1 2 1 1
Cartesian
0.000 0.000 0.000
0.000 2.261 0.000
2.261 0.000 0.000
2.261 2.261 1.620
0.000 0.000 1.620

> Which of these has the highest size of the total moment?

BeRe2SnH

> size of the total moment of number 4 (BeReH)?

0.000 μB per formula unit

> Among the records above, which one has the highest size of the total moment?

BeRe2SnH

> What is the formula in the second record?

BeReH3